1.
4
Lattice="2.671 -4.473 0.000 2.671 4.473 0.000 -0.009 0.000 2.680" Properties=species:S:1:pos:R:3 comment="Tc2AgAu (GGA-PBE, optimized geometry)" de_polymorph_mev_per_atom=378.0 sg="C2/m, No. 12" e_tot_ev_per_atom=-6.208 pbc="T T T"
Tc 1.336 2.237 0.000
Tc 1.336 -2.237 0.000
Ag -0.004 0.000 1.340
Au 2.667 0.000 1.340


2.
5
Lattice="5.091 0.000 0.000 0.000 5.091 0.000 0.000 0.000 5.091" Properties=species:S:1:pos:R:3 comment="TcAg3Au (GGA-PBE, optimized geometry)" de_polymorph_mev_per_atom=0.0 sg="Pm-3m, No. 221" e_tot_ev_per_atom=-3.078 pbc="T T T"
Tc 0.000 0.000 0.000
Ag 0.000 2.546 2.546
Ag 2.546 0.000 2.546
Ag 2.546 2.546 0.000
Au 2.546 2.546 2.546


3.
10
Lattice="8.139 0.000 0.000 0.000 8.139 0.000 0.000 0.000 2.745" Properties=species:S:1:pos:R:3 comment="Tc2Ag2Au (GGA-PBE, optimized geometry)" de_polymorph_mev_per_atom=146.0 sg="P4/mbm, No. 127" e_tot_ev_per_atom=-5.244 pbc="T T T"
Tc 0.786 3.284 0.000
Tc 3.284 7.353 0.000
Tc 4.855 0.786 0.000
Tc 7.353 4.855 0.000
Ag 1.582 5.651 1.373
Ag 2.488 1.582 1.373
Ag 5.651 6.557 1.373
Ag 6.557 2.488 1.373
Au 0.000 0.000 1.373
Au 4.070 4.070 1.373


no.,ΔE_f (eV/atom)
1,0.508
2,1.361
3,0.699